LiPdF: relaxed, GGA-PBE.

space-group type: No. 8
polymorph energy (0 for the lowest one): 5.77 kcal/mol of atoms

a = 5.1627 Å, b = 5.1627 Å, c = 6.2869 Å
α = 111.98°, β = 111.98°, γ = 30.85°
Positions (direct):
Li 0.0000 0.0000 0.0000
Li 0.2080 0.2080 0.8478
Pd 0.4777 0.4777 0.3858
Pd 0.7458 0.7458 0.3953
F 0.6158 0.6158 0.9697
F 0.8158 0.8158 0.7871

=====

LiPd2F: relaxed, GGA-PBE.

space-group type: No. 225
polymorph energy (0 for the lowest one): 5.38 kcal/mol of atoms

a = 4.2375 Å, b = 4.2375 Å, c = 4.2375 Å
α = 60.00°, β = 60.00°, γ = 60.00°
Positions (direct):
Li 0.0000 0.0000 0.0000
Pd 0.2500 0.2500 0.2500
Pd 0.7500 0.7500 0.7500
F 0.5000 0.5000 0.5000

=====

Li2PdF: relaxed, GGA-PBE.

space-group type: No. 225
polymorph energy (0 for the lowest one): 20.22 kcal/mol of atoms

a = 4.2564 Å, b = 4.2564 Å, c = 4.2564 Å
α = 60.00°, β = 60.00°, γ = 60.00°
Positions (direct):
Li 0.2500 0.2500 0.2500
Li 0.7500 0.7500 0.7500
Pd 0.0000 0.0000 0.0000
F 0.5000 0.5000 0.5000

=====

Li3PdF6: relaxed, GGA-PBE.

space-group type: No. 225
polymorph energy (0 for the lowest one): 4.96 kcal/mol of atoms

a = 5.6235 Å, b = 5.6235 Å, c = 5.6235 Å
α = 60.00°, β = 60.00°, γ = 60.00°
Positions (direct):
Li 0.0000 0.0000 0.0000
Li 0.2500 0.2500 0.2500
Li 0.7500 0.7500 0.7500
Pd 0.5000 0.5000 0.5000
F 0.2452 0.2452 0.7548
F 0.2452 0.7548 0.2452
F 0.2452 0.7548 0.7548
F 0.7548 0.2452 0.2452
F 0.7548 0.2452 0.7548
F 0.7548 0.7548 0.2452

=====

Li2PdF2: relaxed, GGA-PBE.

space-group type: No. 127
polymorph energy (0 for the lowest one): 3.55 kcal/mol of atoms

a = 6.5613 Å, b = 6.5613 Å, c = 2.6647 Å
α = 90.00°, β = 90.00°, γ = 90.00°
Positions (direct):
Li 0.1217 0.3783 0.0000
Li 0.3783 0.8783 0.0000
Li 0.6217 0.1217 0.0000
Li 0.8783 0.6217 0.0000
Pd 0.0000 0.0000 0.0000
Pd 0.5000 0.5000 0.0000
F 0.1340 0.6340 0.5000
F 0.3660 0.1340 0.5000
F 0.6340 0.8660 0.5000
F 0.8660 0.3660 0.5000

=====

LiPd3F9: relaxed, GGA-PBE.

space-group type: No. 9

a = 7.9157 Å, b = 7.9157 Å, c = 6.5377 Å
α = 96.17°, β = 96.17°, γ = 67.87°
Positions (direct):
Li 0.2291 0.7709 0.5000
Li 0.7709 0.2291 0.0000
Pd 0.2049 0.2125 0.7325
Pd 0.2125 0.2049 0.2325
Pd 0.4666 0.7081 0.0055
Pd 0.6997 0.9296 0.6756
Pd 0.7081 0.4666 0.5055
Pd 0.9296 0.6997 0.1756
F 0.0396 0.4606 0.3157
F 0.0519 0.1624 0.9926
F 0.1535 0.7491 0.2022
F 0.1624 0.0519 0.4926
F 0.2489 0.3628 0.9787
F 0.2594 0.7654 0.7977
F 0.3628 0.2489 0.4787
F 0.3994 0.9501 0.1819
F 0.4599 0.5730 0.3785
F 0.4606 0.0396 0.8157
F 0.5730 0.4599 0.8785
F 0.6472 0.7002 0.6922
F 0.7002 0.6472 0.1922
F 0.7491 0.1535 0.7022
F 0.7654 0.2594 0.2977
F 0.8070 0.9204 0.0212
F 0.9204 0.8070 0.5212
F 0.9501 0.3994 0.6819

=====

| no. | calculated volume (Å³ per atom) | formation energy (no corrections) (eV per atom) | final energy (Ry/atom) |
| --- | --- | --- | --- |
| 1 | 13.2 | -1.462 | -0.3274 |
| 2 | 13.5 | -0.253 | -0.2790 |
| 3 | 13.6 | -0.769 | -0.2566 |
| 4 | 12.6 | -2.036 | -0.3125 |
| 5 | 11.5 | -1.512 | -0.2988 |
| 6 | 14.5 | -1.409 | -0.2977 |